Here is a relaxed LaZnTe2 crystal from Alexandria via LeMat-Bulk. Energies are from GGA-PBE.

```
LaZnTe2
1.0
4.4554 0.0000 0.0000
0.0000 2.1300 6.1792
0.0000 -2.1300 6.1792
La Zn Te
1 1 2
Cartesian
0.0000 0.0000 0.0000
2.2277 0.0000 2.5391
0.0000 0.0000 8.6614
2.2277 0.0000 5.2502
```

Its calculated density is 6.51 g/cm3. The crystal system is orthorhombic. The formation energy (no corrections) comes out at -98 kJ/mol of atoms.